(1)
An optimized crystal structure of CrSbAu4, computed with PBE.

Summary:
The calculation puts the raw total energy at -102.71 eV for the cell shown.

Unit cell a=7.8597 b=7.8597 c=7.8597 alpha=90.00 beta=90.00 gamma=90.00
Space group F-43m (No. 216)
Asymmetric unit:
Cr (0.0000, 0.0000, 0.0000)
Sb (0.2500, 0.2500, 0.7500)
Au (0.1254, 0.1254, 0.3746)

(2)
An optimized crystal structure of CrSbAu, computed with PBE.

Summary:
The value obtained for the energy above the most stable polymorph in this dataset is 302 meV per atom.

Unit cell a=4.6988 b=8.1751 c=8.4236 alpha=90.00 beta=106.03 gamma=90.00
Space group C2/m (No. 12)
Asymmetric unit:
Cr (0.0578, 0.0000, 0.1176)
Sb (0.1472, 0.5000, 0.2988)
Au (0.0000, 0.3280, 0.0000)

(3)
An optimized crystal structure of Cr2Sb2Au, computed with PBE.

Summary:
The calculation puts the raw total energy at -58.54 eV for the cell shown.

Unit cell a=7.1423 b=7.1423 c=3.4386 alpha=90.00 beta=90.00 gamma=90.00
Space group P4/mbm (No. 127)
Asymmetric unit:
Cr (0.1293, 0.3707, 0.0000)
Sb (0.1635, 0.6635, 0.5000)
Au (0.0000, 0.0000, 0.0000)

(4)
An optimized crystal structure of CrSb3Au, computed with PBE.

Summary:
The value obtained for the energy above the most stable polymorph in this dataset is 0 meV per atom.

Unit cell a=4.9947 b=4.9947 c=4.9947 alpha=90.00 beta=90.00 gamma=90.00
Space group Pm-3m (No. 221)
Asymmetric unit:
Cr (0.0000, 0.0000, 0.0000)
Sb (0.0000, 0.0000, 0.5000)
Au (0.5000, 0.5000, 0.5000)

(5)
An optimized crystal structure of CrSbAu, computed with PBE.

Summary:
The value obtained for the energy above the most stable polymorph in this dataset is 105 meV per atom.

Unit cell a=4.2551 b=4.2551 c=3.9397 alpha=90.00 beta=90.00 gamma=120.00
Space group P3m1 (No. 156)
Asymmetric unit:
Cr (0.0000, 0.0000, 0.0000)
Sb (0.6667, 0.3333, 0.3352)
Au (0.3333, 0.6667, 0.6961)

(6)
An optimized crystal structure of CrSbAu, computed with PBE.

Summary:
The value obtained for the energy above the most stable polymorph in this dataset is 156 meV per atom.

Unit cell a=3.4026 b=3.4026 c=6.2019 alpha=90.00 beta=90.00 gamma=120.00
Space group P3m1 (No. 156)
Asymmetric unit:
Cr (0.0000, 0.0000, 0.0000)
Sb (0.6667, 0.3333, 0.3275)
Au (0.3333, 0.6667, 0.7064)